Pt3W after structural relaxation, computed with PBE-GGA.

a b c (Å): 4.870 4.870 4.870
angles (deg): 90.00 90.00 90.00
Positions (direct):
1 Pt 0.500 0.000 0.000
2 Pt 0.000 0.500 0.000
3 Pt 0.000 0.000 0.500
4 W 0.000 0.000 0.000

Values from the calculation:
VASP energy (eV/cell): -25.0
Density of states at the Fermi level (states/eV/atom): 0.834


PtW after structural relaxation, computed with PBE-GGA.

a b c (Å): 2.742 2.742 4.151
angles (deg): 90.00 90.00 90.00
Positions (direct):
1 W 0.500 0.500 0.000
2 Pt 0.000 0.000 0.500

Values from the calculation:
VASP energy (eV/cell): -19.4
Density of states at the Fermi level (states/eV/atom): 0.731


PtW after structural relaxation, computed with PBE-GGA.

a b c (Å): 4.915 4.915 4.915
angles (deg): 33.09 33.09 33.09
Positions (direct):
1 W 0.500 0.500 0.500
2 Pt 0.000 0.000 0.000

Values from the calculation:
VASP energy (eV/cell): -19.1
Density of states at the Fermi level (states/eV/atom): 1.183


PtW5 after structural relaxation, computed with PBE-GGA.

a b c (Å): 5.508 5.508 6.995
angles (deg): 75.87 75.87 28.16
Positions (direct):
1 Pt 0.001 0.001 0.997
2 W 0.603 0.603 0.280
3 W 0.335 0.335 0.320
4 W 0.945 0.945 0.621
5 W 0.674 0.674 0.662
6 W 0.276 0.276 0.953

Values from the calculation:
VASP energy (eV/cell): -69.8
Density of states at the Fermi level (states/eV/atom): 0.798
Excess energy over the best structure of this formula in the dataset (eV/atom): 0.0803


PtW after structural relaxation, computed with PBE-GGA.

a b c (Å): 2.818 2.818 9.265
angles (deg): 90.00 90.00 120.00
Positions (direct):
1 Pt 0.000 0.000 0.994
2 Pt 0.333 0.667 0.256
3 W 0.000 0.000 0.494
4 W 0.333 0.667 0.756

Values from the calculation:
VASP energy (eV/cell): -38.2
Density of states at the Fermi level (states/eV/atom): 0.892


PtW after structural relaxation, computed with PBE-GGA.

a b c (Å): 7.008 7.008 7.008
angles (deg): 90.00 90.00 90.00
Positions (direct):
1 Pt 0.250 0.500 0.000
2 Pt 0.750 0.500 0.000
3 Pt 0.500 0.000 0.250
4 Pt 0.500 0.000 0.750
5 Pt 0.000 0.250 0.500
6 Pt 0.000 0.750 0.500
7 W 0.250 0.000 0.500
8 W 0.750 0.000 0.500
9 W 0.000 0.500 0.250
10 W 0.000 0.500 0.750
11 W 0.500 0.250 0.000
12 W 0.500 0.750 0.000

Values from the calculation:
VASP energy (eV/cell): -99.0
Density of states at the Fermi level (states/eV/atom): 1.300


PtW after structural relaxation, computed with PBE-GGA.

a b c (Å): 2.778 2.778 8.224
angles (deg): 90.00 90.00 90.00
Positions (direct):
1 W 0.000 0.500 0.633
2 W 0.500 0.000 0.367
3 Pt 0.000 0.500 0.135
4 Pt 0.500 0.000 0.865

Values from the calculation:
VASP energy (eV/cell): -38.7
Density of states at the Fermi level (states/eV/atom): 1.205


PtW after structural relaxation, computed with PBE-GGA.

a b c (Å): 4.027 4.027 5.242
angles (deg): 90.00 90.00 120.00
Positions (direct):
1 Pt 0.000 0.000 0.000
2 Pt 0.000 0.000 0.500
3 W 0.333 0.667 0.250
4 W 0.667 0.333 0.750

Values from the calculation:
VASP energy (eV/cell): -35.1
Density of states at the Fermi level (states/eV/atom): 1.311


PtW after structural relaxation, computed with PBE-GGA.

a b c (Å): 2.821 2.821 4.553
angles (deg): 90.00 90.00 120.00
Positions (direct):
1 Pt 0.000 0.000 0.000
2 W 0.333 0.667 0.500

Values from the calculation:
VASP energy (eV/cell): -19.2
Density of states at the Fermi level (states/eV/atom): 0.690


PtW5 after structural relaxation, computed with PBE-GGA.

a b c (Å): 5.214 5.214 5.214
angles (deg): 60.00 60.00 60.00
Positions (direct):
1 Pt 0.000 0.000 0.000
2 W 0.624 0.624 0.127
3 W 0.250 0.250 0.250
4 W 0.624 0.624 0.624
5 W 0.127 0.624 0.624
6 W 0.624 0.127 0.624

Values from the calculation:
VASP energy (eV/cell): -68.7
Density of states at the Fermi level (states/eV/atom): 0.919
Excess energy over the best structure of this formula in the dataset (eV/atom): 0.2650


PtW after structural relaxation, computed with PBE-GGA.

a b c (Å): 10.525 10.525 2.966
angles (deg): 90.00 90.00 90.00
Positions (direct):
1 Pt 0.468 0.312 0.000
2 Pt 0.532 0.688 0.000
3 Pt 0.688 0.468 0.000
4 Pt 0.312 0.532 0.000
5 Pt 0.968 0.812 0.500
6 Pt 0.032 0.188 0.500
7 Pt 0.188 0.968 0.500
8 Pt 0.812 0.032 0.500
9 W 0.322 0.811 0.000
10 W 0.678 0.189 0.000
11 W 0.189 0.322 0.000
12 W 0.811 0.678 0.000
13 W 0.822 0.311 0.500
14 W 0.178 0.689 0.500
15 W 0.689 0.822 0.500
16 W 0.311 0.178 0.500

Values from the calculation:
VASP energy (eV/cell): -143.6
Density of states at the Fermi level (states/eV/atom): 0.991


PtW after structural relaxation, computed with PBE-GGA.

a b c (Å): 4.044 4.044 4.044
angles (deg): 60.00 60.00 60.00
Positions (direct):
1 Pt 0.000 0.000 0.000
2 W 0.750 0.750 0.750

Values from the calculation:
VASP energy (eV/cell): -16.7
Density of states at the Fermi level (states/eV/atom): 1.958


PtW after structural relaxation, computed with PBE-GGA.

a b c (Å): 7.806 7.806 7.806
angles (deg): 90.00 90.00 90.00
Positions (direct):
1 Pt 0.309 0.309 0.309
2 Pt 0.309 0.691 0.691
3 Pt 0.691 0.309 0.691
4 Pt 0.691 0.691 0.309
5 Pt 0.809 0.809 0.809
6 Pt 0.809 0.191 0.191
7 Pt 0.191 0.809 0.191
8 Pt 0.191 0.191 0.809
9 W 0.125 0.125 0.125
10 W 0.125 0.875 0.875
11 W 0.875 0.125 0.875
12 W 0.875 0.875 0.125
13 W 0.625 0.625 0.625
14 W 0.625 0.375 0.375
15 W 0.375 0.625 0.375
16 W 0.375 0.375 0.625

Values from the calculation:
VASP energy (eV/cell): -132.7
Density of states at the Fermi level (states/eV/atom): 0.757


Pt3W after structural relaxation, computed with PBE-GGA.

a b c (Å): 5.041 5.041 5.041
angles (deg): 90.00 90.00 90.00
Positions (direct):
1 Pt 0.000 0.250 0.500
2 Pt 0.000 0.750 0.500
3 Pt 0.250 0.500 0.000
4 Pt 0.500 0.000 0.250
5 Pt 0.500 0.000 0.750
6 Pt 0.750 0.500 0.000
7 W 0.000 0.000 0.000
8 W 0.500 0.500 0.500

Values from the calculation:
VASP energy (eV/cell): -63.2
Density of states at the Fermi level (states/eV/atom): 0.376


PtW after structural relaxation, computed with PBE-GGA.

a b c (Å): 2.720 5.487 4.354
angles (deg): 90.00 90.00 104.35
Positions (direct):
1 W 0.171 0.341 0.250
2 W 0.829 0.659 0.750
3 Pt 0.428 0.856 0.250
4 Pt 0.572 0.144 0.750

Values from the calculation:
VASP energy (eV/cell): -38.7
Density of states at the Fermi level (states/eV/atom): 0.528


PtW5 after structural relaxation, computed with PBE-GGA.

a b c (Å): 7.821 7.821 4.695
angles (deg): 90.00 90.00 160.26
Positions (direct):
1 Pt 0.999 0.001 0.000
2 W 0.226 0.774 0.500
3 W 0.331 0.669 0.000
4 W 0.557 0.443 0.500
5 W 0.659 0.341 0.000
6 W 0.894 0.106 0.500

Values from the calculation:
VASP energy (eV/cell): -69.6
Density of states at the Fermi level (states/eV/atom): 0.831
Excess energy over the best structure of this formula in the dataset (eV/atom): 0.1114


Pt5W after structural relaxation, computed with PBE-GGA.

a b c (Å): 5.183 5.183 5.183
angles (deg): 60.00 60.00 60.00
Positions (direct):
1 Pt 0.625 0.625 0.125
2 Pt 0.250 0.250 0.250
3 Pt 0.625 0.625 0.625
4 Pt 0.125 0.625 0.625
5 Pt 0.625 0.125 0.625
6 W 0.000 0.000 0.000

Values from the calculation:
VASP energy (eV/cell): -41.8
Density of states at the Fermi level (states/eV/atom): 0.653
Excess energy over the best structure of this formula in the dataset (eV/atom): 0.4503


Pt3W after structural relaxation, computed with PBE-GGA.

a b c (Å): 2.754 5.242 5.242
angles (deg): 63.00 79.92 100.08
Positions (direct):
1 Pt 0.000 0.000 0.000
2 Pt 0.500 0.500 0.000
3 Pt 0.500 0.000 0.500
4 W 0.000 0.500 0.500

Values from the calculation:
VASP energy (eV/cell): -30.8
Density of states at the Fermi level (states/eV/atom): 1.088


Pt5W after structural relaxation, computed with PBE-GGA.

a b c (Å): 5.432 5.432 6.595
angles (deg): 74.75 74.75 30.30
Positions (direct):
1 Pt 0.993 0.993 0.003
2 Pt 0.616 0.616 0.262
3 Pt 0.328 0.328 0.333
4 Pt 0.944 0.944 0.613
5 Pt 0.671 0.671 0.679
6 W 0.281 0.281 0.944

Values from the calculation:
VASP energy (eV/cell): -44.1
Density of states at the Fermi level (states/eV/atom): 1.024
Excess energy over the best structure of this formula in the dataset (eV/atom): 0.0661


PtW after structural relaxation, computed with PBE-GGA.

a b c (Å): 7.420 7.508 9.976
angles (deg): 90.00 90.00 90.00
Positions (direct):
1 Pt 0.000 0.825 0.000
2 Pt 0.000 0.175 0.000
3 Pt 0.250 0.925 0.250
4 Pt 0.250 0.575 0.250
5 Pt 0.000 0.325 0.500
6 Pt 0.000 0.675 0.500
7 Pt 0.250 0.425 0.750
8 Pt 0.250 0.075 0.750
9 Pt 0.500 0.825 0.500
10 Pt 0.500 0.175 0.500
11 Pt 0.750 0.925 0.750
12 Pt 0.750 0.575 0.750
13 Pt 0.500 0.325 0.000
14 Pt 0.500 0.675 0.000
15 Pt 0.750 0.425 0.250
16 Pt 0.750 0.075 0.250
17 W 0.334 0.000 0.000
18 W 0.666 0.000 0.000
19 W 0.916 0.750 0.250
20 W 0.584 0.750 0.250
21 W 0.334 0.500 0.500
22 W 0.666 0.500 0.500
23 W 0.916 0.250 0.750
24 W 0.584 0.250 0.750
25 W 0.834 0.000 0.500
26 W 0.166 0.000 0.500
27 W 0.416 0.750 0.750
28 W 0.084 0.750 0.750
29 W 0.834 0.500 0.000
30 W 0.166 0.500 0.000
31 W 0.416 0.250 0.250
32 W 0.084 0.250 0.250

Values from the calculation:
VASP energy (eV/cell): -288.9
Density of states at the Fermi level (states/eV/atom): 1.071


Pt3W after structural relaxation, computed with PBE-GGA.

a b c (Å): 4.859 5.375 2.818
angles (deg): 74.80 90.00 116.88
Positions (direct):
1 Pt 0.984 0.983 0.008
2 Pt 0.096 0.500 0.250
3 Pt 0.501 0.017 0.492
4 W 0.586 0.500 0.750

Values from the calculation:
VASP energy (eV/cell): -31.6
Density of states at the Fermi level (states/eV/atom): 0.981


Pt3W after structural relaxation, computed with PBE-GGA.

a b c (Å): 2.798 3.993 5.580
angles (deg): 90.00 90.00 90.00
Positions (direct):
1 W 0.500 0.500 0.250
2 Pt 0.000 0.000 0.009
3 Pt 0.000 0.000 0.491
4 Pt 0.500 0.500 0.750

Values from the calculation:
VASP energy (eV/cell): -32.1
Density of states at the Fermi level (states/eV/atom): 0.593


Pt5W after structural relaxation, computed with PBE-GGA.

a b c (Å): 4.856 4.856 4.592
angles (deg): 90.00 90.00 120.00
Positions (direct):
1 Pt 0.006 0.000 0.000
2 Pt 0.661 0.327 0.000
3 Pt 0.333 0.673 0.000
4 Pt 0.000 0.333 0.500
5 Pt 0.667 0.667 0.500
6 W 0.333 0.000 0.500

Values from the calculation:
VASP energy (eV/cell): -44.3
Density of states at the Fermi level (states/eV/atom): 1.223
Excess energy over the best structure of this formula in the dataset (eV/atom): 0.0238


PtW after structural relaxation, computed with PBE-GGA.

a b c (Å): 4.844 4.502 5.737
angles (deg): 90.00 90.00 90.00
Positions (direct):
1 Pt 0.076 0.250 0.124
2 Pt 0.424 0.750 0.624
3 Pt 0.576 0.250 0.376
4 Pt 0.924 0.750 0.876
5 W 0.079 0.250 0.624
6 W 0.421 0.750 0.124
7 W 0.579 0.250 0.876
8 W 0.921 0.750 0.376

Values from the calculation:
VASP energy (eV/cell): -77.4
Density of states at the Fermi level (states/eV/atom): 0.852


PtW5 after structural relaxation, computed with PBE-GGA.

a b c (Å): 6.948 6.948 3.332
angles (deg): 90.00 90.00 143.09
Positions (direct):
1 Pt 0.500 0.500 0.000
2 W 0.330 0.670 0.500
3 W 0.162 0.838 0.000
4 W 0.000 0.000 0.500
5 W 0.838 0.162 0.000
6 W 0.670 0.330 0.500

Values from the calculation:
VASP energy (eV/cell): -70.2
Density of states at the Fermi level (states/eV/atom): 1.075
Excess energy over the best structure of this formula in the dataset (eV/atom): 0.0000


Pt3W after structural relaxation, computed with PBE-GGA.

a b c (Å): 3.977 3.978 3.977
angles (deg): 90.00 90.00 90.00
Positions (direct):
1 W 0.500 0.000 0.583
2 Pt 0.000 0.000 0.083
3 Pt 0.000 0.500 0.583
4 Pt 0.500 0.500 0.083

Values from the calculation:
VASP energy (eV/cell): -31.3
Density of states at the Fermi level (states/eV/atom): 1.011


| no. | formation energy (meV/atom) |
| --- | --- |
| 1 | 1513 |
| 2 | -187 |
| 3 | -49 |
| 4 | 173 |
| 5 | -45 |
| 6 | 1246 |
| 7 | -184 |
| 8 | 724 |
| 9 | -124 |
| 10 | 358 |
| 11 | 524 |
| 12 | 1134 |
| 13 | 1203 |
| 14 | -132 |
| 15 | -171 |
| 16 | 204 |
| 17 | 233 |
| 18 | 75 |
| 19 | -151 |
| 20 | 470 |
| 21 | -142 |
| 22 | -255 |
| 23 | -193 |
| 24 | -172 |
| 25 | 93 |
| 26 | -60 |